# V3PbO6, optimized geometry, DFT GGA+U
data_V3PbO6
_chemical_formula_sum 'V12 Pb4 O24'
_cell_length_a 7.546
_cell_length_b 14.545
_cell_length_c 4.916
_cell_angle_alpha 90.00
_cell_angle_beta 90.00
_cell_angle_gamma 90.00
_symmetry_space_group_name_H-M 'C m c 21'
_symmetry_Int_Tables_number 36
_symmetry_space_group_name_Hall 'C 2c -2'
loop_
_atom_site_label
_atom_site_fract_x
_atom_site_fract_y
_atom_site_fract_z
V1 0.000 0.068 0.000
V2 0.172 0.435 0.878
Pb1 0.000 0.262 0.404
O1 0.000 0.344 0.013
O2 0.000 0.467 0.591
O3 0.170 0.033 0.679
O4 0.180 0.149 0.187
# - Total energy: -294.4 eV/cell